1.
Material: Ac3NdIr3
Method: DFT, PBE
State: optimized geometry

## Properties
**Energy of formation from the pure elements**: -0.544 eV/atom
**SG**: I4_132
**Energy above the most stable polymorph in this dataset**: 0 meV/atom

The structure in extended XYZ format:
```
28
Lattice="9.8564 0.0000 -3.4848 -4.9282 8.5359 -3.4848 0.0000 0.0000 10.4543" Properties=species:S:1:pos:R:3 pbc="T T T"
Ir -2.4541 8.5185 0.8995
Ir 6.1903 2.1166 4.3560
Ir 1.2220 2.1513 0.8429
Ir 2.4541 8.5185 4.3276
Ir 2.4340 4.2853 4.3560
Ir -1.2220 2.1513 4.3843
Ir 0.0000 8.5012 -2.6136
Ir 4.9282 4.3026 0.8712
Ir -3.6761 6.4019 7.8124
Ir 3.6661 2.1166 7.8407
Ir -2.4341 4.2853 0.8712
Ir 3.6761 6.4019 -2.5853
Ac 4.9282 0.1501 6.0983
Ac 8.5377 2.1340 -4.2334
Ac 2.5074 0.0751 -0.7486
Ac 0.0000 4.1178 2.6136
Ac 1.3621 6.4770 -4.3560
Ac 6.1169 6.3269 -0.9938
Ac -1.3621 6.4770 -0.8712
Ac 3.7395 6.3269 2.7361
Ac 7.3490 0.0751 2.4910
Ac 7.2623 4.1929 2.6136
Ac 2.5941 4.1929 -0.8712
Ac 1.3187 2.1340 5.9758
Nd 3.6962 2.1340 2.6136
Nd 6.1603 2.1340 -0.8712
Nd 0.0000 0.0000 2.6136
Nd 4.9282 4.2679 -4.3560
```


2.
Material: Ac3NdIr3
Method: DFT, PBE
State: optimized geometry

## Properties
**Energy of formation from the pure elements**: -0.457 eV/atom
**SG**: R3m
**Energy above the most stable polymorph in this dataset**: 86 meV/atom

The structure in extended XYZ format:
```
7
Lattice="6.2922 -0.3601 -0.4887 -1.7882 6.0435 -0.4887 -1.7882 -2.2564 5.6278" Properties=species:S:1:pos:R:3 pbc="T T T"
Ac -1.2920 2.0179 2.7382
Ac 2.2597 2.8514 0.0498
Ac 2.2597 -0.7968 2.7382
Nd 2.6645 3.3622 4.5624
Ir -0.8149 -1.0283 3.0738
Ir 3.3409 -0.0530 -0.0719
Ir -0.8149 3.2404 -0.0719
```


3.
Material: Ac4NdIr3
Method: DFT, PBE
State: optimized geometry

## Properties
**Energy of formation from the pure elements**: -0.590 eV/atom
**SG**: Cc

The structure in extended XYZ format:
```
16
Lattice="7.5449 0.0000 0.0000 -3.7724 6.5562 -2.8234 0.0000 0.0452 11.0157" Properties=species:S:1:pos:R:3 pbc="T T T"
Ir 3.8300 5.3606 1.0089
Ir -0.0024 3.9889 4.7999
Ir 0.0024 3.9664 -0.7080
Ir 3.7701 2.4726 3.0139
Ir 3.7747 2.4952 8.5217
Ir 3.7148 5.3831 6.5167
Nd -1.3142 6.4726 -0.1553
Nd 1.3142 6.4952 5.3525
Ac 2.5402 5.1521 -1.7275
Ac 1.3109 3.9526 2.0459
Ac 6.2368 1.3711 4.2514
Ac 2.5262 2.6996 5.7622
Ac -1.3109 3.9751 7.5537
Ac 5.0187 2.6770 0.2543
Ac 1.3080 1.3937 9.7593
Ac -2.5402 5.1747 3.7803
```


4.
Material: AcNdNiIr
Method: DFT, PBE
State: optimized geometry

## Properties
**Energy of formation from the pure elements**: -0.469 eV/atom
**SG**: Amm2
**Energy above the most stable polymorph in this dataset**: 0 meV/atom

The structure in extended XYZ format:
```
4
Lattice="-2.5405 2.8785 1.3769 -1.8230 -2.8465 2.5874 4.9585 -0.1209 3.3605" Properties=species:S:1:pos:R:3 pbc="T T T"
Ir 3.1216 1.1158 3.4269
Nd 0.5066 0.9770 4.9334
Ac 1.0495 0.3751 1.1522
Ni -1.6647 0.2008 2.5498
```